Entry 1:
# PBE Li2Cd4AgAu, optimized geometry
data_Li2Cd4AgAu
_chemical_formula_sum 'Li2 Cd4 Ag1 Au1'
_cell_length_a 4.795
_cell_length_b 4.811
_cell_length_c 6.488
_cell_angle_alpha 90.00
_cell_angle_beta 90.03
_cell_angle_gamma 90.00
_space_group_name_H-M_alt 'P 1 2/m 1'
_space_group_IT_number 10
_space_group_name_Hall '-P 2y'
loop_
_atom_site_label
_atom_site_fract_x
_atom_site_fract_y
_atom_site_fract_z
Li1 0.000 0.000 0.000
Li2 0.500 0.500 0.500
Cd1 0.001 0.500 0.747
Cd2 0.498 0.000 0.751
Ag1 0.000 0.000 0.500
Au1 0.500 0.500 0.000
# E_form (eV/atom): -0.27

***

Entry 2:
# PBE Ta2BPN, optimized geometry
data_Ta2BPN
_chemical_formula_sum 'Ta2 B1 P1 N1'
_cell_length_a 4.399
_cell_length_b 4.399
_cell_length_c 3.028
_cell_angle_alpha 90.00
_cell_angle_beta 90.00
_cell_angle_gamma 90.00
_space_group_name_H-M_alt 'P 4/m m m'
_space_group_IT_number 123
_space_group_name_Hall '-P 4 2'
loop_
_atom_site_label
_atom_site_fract_x
_atom_site_fract_y
_atom_site_fract_z
Ta1 0.000 0.500 0.000
B1 0.000 0.000 0.500
P1 0.500 0.500 0.500
N1 0.000 0.000 0.000
# Uncorrected formation energy (eV per atom): -0.169

***

Entry 3:
# PBE KCa, optimized geometry
data_KCa
_chemical_formula_sum 'K8 Ca8'
_cell_length_a 8.273
_cell_length_b 8.273
_cell_length_c 12.326
_cell_angle_alpha 90.00
_cell_angle_beta 90.00
_cell_angle_gamma 90.00
_space_group_name_H-M_alt 'I 41/a m d'
_space_group_IT_number 141
loop_
_space_group_symop_operation_xyz
'x,y,z'
'-x,-y,-z'
'-y+1/4,x+3/4,z+1/4'
'y+1/4,-x+3/4,-z+1/4'
'-x+1/2,-y,z+1/2'
'x+1/2,y,-z+1/2'
'y+1/4,-x+1/4,z+3/4'
'-y+1/4,x+1/4,-z+3/4'
'x,-y,-z'
'-x,y,z'
'-y+1/4,-x+1/4,-z+3/4'
'y+1/4,x+1/4,z+3/4'
'-x+1/2,y,-z+1/2'
'x+1/2,-y,z+1/2'
'y+1/4,x+3/4,-z+1/4'
'-y+1/4,-x+3/4,z+1/4'
'x+1/2,y+1/2,z+1/2'
'-x+1/2,-y+1/2,-z+1/2'
'-y+3/4,x+1/4,z+3/4'
'y+3/4,-x+1/4,-z+3/4'
'-x,-y+1/2,z'
'x,y+1/2,-z'
'y+3/4,-x+3/4,z+1/4'
'-y+3/4,x+3/4,-z+1/4'
'x+1/2,-y+1/2,-z+1/2'
'-x+1/2,y+1/2,z+1/2'
'-y+3/4,-x+3/4,-z+1/4'
'y+3/4,x+3/4,z+1/4'
'-x,y+1/2,-z'
'x,-y+1/2,z'
'y+3/4,x+1/4,-z+3/4'
'-y+3/4,-x+1/4,z+3/4'
loop_
_atom_site_label
_atom_site_fract_x
_atom_site_fract_y
_atom_site_fract_z
K1 0.000 0.000 0.000
Ca1 0.000 0.000 0.500
# E_form (eV/atom): 0.17

***

Entry 4:
# PBE K2AlZn3Sn4, optimized geometry
data_K2AlZn3Sn4
_chemical_formula_sum 'K2 Al1 Zn3 Sn4'
_cell_length_a 4.665
_cell_length_b 4.665
_cell_length_c 11.937
_cell_angle_alpha 90.00
_cell_angle_beta 90.00
_cell_angle_gamma 90.00
_space_group_name_H-M_alt 'P -4 m 2'
_space_group_IT_number 115
_space_group_name_Hall 'P -4 -2'
loop_
_atom_site_label
_atom_site_fract_x
_atom_site_fract_y
_atom_site_fract_z
K1 0.000 0.500 0.247
Al1 0.500 0.500 0.000
Zn1 0.000 0.000 0.000
Zn2 0.000 0.500 0.641
Sn1 0.000 0.000 0.500
Sn2 0.000 0.500 0.868
Sn3 0.500 0.500 0.500
# E_form (eV/atom): -0.13

***

Entry 5:
# PBE CaTb7Ho4, optimized geometry
data_CaTb7Ho4
_chemical_formula_sum 'Ca1 Tb7 Ho4'
_cell_length_a 6.229
_cell_length_b 7.206
_cell_length_c 8.863
_cell_angle_alpha 90.01
_cell_angle_beta 103.61
_cell_angle_gamma 90.10
_space_group_name_H-M_alt 'P -1'
_space_group_IT_number 2
_space_group_name_Hall '-P 1'
loop_
_atom_site_label
_atom_site_fract_x
_atom_site_fract_y
_atom_site_fract_z
Ca1 0.000 0.000 0.000
Tb1 0.000 0.500 0.000
Tb2 0.225 0.000 0.660
Tb3 0.283 0.254 0.338
Tb4 0.499 0.742 0.000
Ho1 0.220 0.500 0.668
Ho2 0.282 0.746 0.338
# E_form (eV/atom): 0.03

***

Entry 6:
# PBE HoErPtRh, optimized geometry
data_HoErPtRh
_chemical_formula_sum 'Ho4 Er4 Pt4 Rh4'
_cell_length_a 6.873
_cell_length_b 6.873
_cell_length_c 6.873
_cell_angle_alpha 90.00
_cell_angle_beta 90.00
_cell_angle_gamma 90.00
_space_group_name_H-M_alt 'F -4 3 m'
_space_group_IT_number 216
_space_group_name_Hall 'F -4 2 3'
loop_
_atom_site_label
_atom_site_fract_x
_atom_site_fract_y
_atom_site_fract_z
Ho1 0.000 0.000 0.000
Er1 0.000 0.000 0.500
Pt1 0.250 0.250 0.250
Rh1 0.250 0.250 0.750
# E above lowest polymorph (eV per formula unit): 0.05
# E_form (eV/atom): -1.08

***

Entry 7:
# PBE PuMgCu2H8, optimized geometry
data_PuMgCu2H8
_chemical_formula_sum 'Pu1 Mg1 Cu2 H8'
_cell_length_a 4.3979
_cell_length_b 4.3979
_cell_length_c 6.6001
_cell_angle_alpha 90.00
_cell_angle_beta 90.00
_cell_angle_gamma 120.00
_space_group_name_H-M_alt 'P -3'
_space_group_IT_number 147
_space_group_name_Hall '-P 3'
loop_
_atom_site_label
_atom_site_fract_x
_atom_site_fract_y
_atom_site_fract_z
Pu1 0.0000 0.0000 0.0000
Mg1 0.0000 0.0000 0.5000
Cu1 0.3333 0.6667 0.7502
H1 0.0183 0.7058 0.2823
H2 0.3333 0.6667 0.0001
# Total DFT energy (no corrections) (eV per formula unit): -51.4

***

Entry 8:
# PBE Cs3Th3MnS8, optimized geometry
data_Cs3Th3MnS8
_chemical_formula_sum 'Cs9 Th9 Mn3 S24'
_cell_length_a 8.2182
_cell_length_b 8.2182
_cell_length_c 24.7044
_cell_angle_alpha 90.00
_cell_angle_beta 90.00
_cell_angle_gamma 120.00
_space_group_name_H-M_alt 'R -3 m'
_space_group_IT_number 166
_space_group_name_Hall '-R 3 2"'
loop_
_atom_site_label
_atom_site_fract_x
_atom_site_fract_y
_atom_site_fract_z
Cs1 0.0000 0.5000 0.0000
Th1 0.0000 0.5000 0.5000
Mn1 0.0000 0.0000 0.5000
S1 0.0000 0.0000 0.2308
S2 0.0085 0.5043 0.2248
# Uncorrected formation energy (eV per atom): -1.545

***

Entry 9:
# PBE ErPClO4, optimized geometry
data_ErPClO4
_chemical_formula_sum 'Er4 P4 Cl4 O16'
_cell_length_a 10.649
_cell_length_b 6.434
_cell_length_c 6.528
_cell_angle_alpha 90.00
_cell_angle_beta 100.94
_cell_angle_gamma 90.00
_space_group_name_H-M_alt 'C 1 2/m 1'
_space_group_IT_number 12
_space_group_name_Hall '-C 2y'
loop_
_atom_site_label
_atom_site_fract_x
_atom_site_fract_y
_atom_site_fract_z
Er1 0.206 0.000 0.337
P1 0.146 0.000 0.776
Cl1 0.030 0.500 0.365
O1 0.001 0.000 0.255
O2 0.193 0.188 0.655
O3 0.209 0.000 0.005
# Uncorrected formation energy (eV per atom): -2.481

***

Entry 10:
# PBE LiPbI2, optimized geometry
data_LiPbI2
_chemical_formula_sum 'Li1 Pb1 I2'
_cell_length_a 3.888
_cell_length_b 3.888
_cell_length_c 8.239
_cell_angle_alpha 90.00
_cell_angle_beta 90.00
_cell_angle_gamma 90.00
_space_group_name_H-M_alt 'P 4/m m m'
_space_group_IT_number 123
_space_group_name_Hall '-P 4 2'
loop_
_atom_site_label
_atom_site_fract_x
_atom_site_fract_y
_atom_site_fract_z
Li1 0.000 0.000 0.000
Pb1 0.000 0.000 0.500
I1 0.500 0.500 0.223
# E above lowest polymorph (eV per formula unit): 0.57
# Uncorrected formation energy (eV per atom): -0.460

***

Entry 11:
# PBE NaAc2MnN4, optimized geometry
data_NaAc2MnN4
_chemical_formula_sum 'Na2 Ac4 Mn2 N8'
_cell_length_a 5.965
_cell_length_b 5.965
_cell_length_c 8.326
_cell_angle_alpha 90.00
_cell_angle_beta 90.00
_cell_angle_gamma 90.00
_space_group_name_H-M_alt 'I -4 2 m'
_space_group_IT_number 121
_space_group_name_Hall 'I -4 2'
loop_
_atom_site_label
_atom_site_fract_x
_atom_site_fract_y
_atom_site_fract_z
Na1 0.000 0.000 0.000
Ac1 0.000 0.500 0.250
Mn1 0.000 0.000 0.500
N1 0.187 0.187 0.394
# Uncorrected formation energy (eV per atom): -0.624

***

Entry 12:
# PBE Ag2AsP, optimized geometry
data_Ag2AsP
_chemical_formula_sum 'Ag4 As2 P2'
_cell_length_a 3.323
_cell_length_b 4.151
_cell_length_c 11.006
_cell_angle_alpha 90.00
_cell_angle_beta 90.00
_cell_angle_gamma 90.00
_space_group_name_H-M_alt 'I m m 2'
_space_group_IT_number 44
_space_group_name_Hall 'I 2 -2'
loop_
_atom_site_label
_atom_site_fract_x
_atom_site_fract_y
_atom_site_fract_z
Ag1 0.000 0.000 0.000
Ag2 0.000 0.500 0.185
As1 0.000 0.000 0.399
P1 0.000 0.500 0.735
# E above lowest polymorph (eV per formula unit): 0.32
# E_form (eV/atom): 0.27

***

Entry 13:
# PBE Pm11Mg9Ag4, optimized geometry
data_Pm11Mg9Ag4
_chemical_formula_sum 'Pm22 Mg18 Ag8'
_cell_length_a 15.188
_cell_length_b 22.928
_cell_length_c 3.819
_cell_angle_alpha 90.00
_cell_angle_beta 90.00
_cell_angle_gamma 90.00
_space_group_name_H-M_alt 'C m m m'
_space_group_IT_number 65
_space_group_name_Hall '-C 2 2'
loop_
_atom_site_label
_atom_site_fract_x
_atom_site_fract_y
_atom_site_fract_z
Pm1 0.000 0.000 0.000
Pm2 0.000 0.163 0.000
Pm3 0.000 0.362 0.000
Pm4 0.216 0.500 0.000
Pm5 0.240 0.173 0.000
Mg1 0.000 0.500 0.500
Mg2 0.107 0.261 0.500
Mg3 0.136 0.075 0.500
Ag1 0.149 0.403 0.500
# E_form (eV/atom): -0.16

***

Entry 14:
# PBE Cu2TeH, optimized geometry
data_Cu2TeH
_chemical_formula_sum 'Cu8 Te4 H4'
_cell_length_a 6.190
_cell_length_b 6.190
_cell_length_c 6.190
_cell_angle_alpha 90.00
_cell_angle_beta 90.00
_cell_angle_gamma 90.00
_space_group_name_H-M_alt 'F m -3 m'
_space_group_IT_number 225
_space_group_name_Hall '-F 4 2 3'
loop_
_atom_site_label
_atom_site_fract_x
_atom_site_fract_y
_atom_site_fract_z
Cu1 0.250 0.250 0.250
Te1 0.000 0.000 0.000
H1 0.000 0.000 0.500
# E above lowest polymorph (eV per formula unit): 1.71

***

Entry 15:
# PBE ScH3Pt, optimized geometry
data_ScH3Pt
_chemical_formula_sum 'Sc1 H3 Pt1'
_cell_length_a 3.641
_cell_length_b 3.641
_cell_length_c 3.641
_cell_angle_alpha 90.00
_cell_angle_beta 90.00
_cell_angle_gamma 90.00
_space_group_name_H-M_alt 'P m -3 m'
_space_group_IT_number 221
_space_group_name_Hall '-P 4 2 3'
loop_
_atom_site_label
_atom_site_fract_x
_atom_site_fract_y
_atom_site_fract_z
Sc1 0.000 0.000 0.000
H1 0.000 0.000 0.500
Pt1 0.500 0.500 0.500
# Total DFT energy (no corrections) (eV per formula unit): -21.8

***

Entry 16:
# PBE SrPrCdIn, optimized geometry
data_SrPrCdIn
_chemical_formula_sum 'Sr4 Pr4 Cd4 In4'
_cell_length_a 7.953
_cell_length_b 7.953
_cell_length_c 7.953
_cell_angle_alpha 90.00
_cell_angle_beta 90.00
_cell_angle_gamma 90.00
_space_group_name_H-M_alt 'F -4 3 m'
_space_group_IT_number 216
_space_group_name_Hall 'F -4 2 3'
loop_
_atom_site_label
_atom_site_fract_x
_atom_site_fract_y
_atom_site_fract_z
Sr1 0.000 0.000 0.000
Pr1 0.000 0.000 0.500
Cd1 0.250 0.250 0.750
In1 0.250 0.250 0.250
# E above lowest polymorph (eV per formula unit): 0.04
# E_form (eV/atom): -0.38

***

Entry 17:
# PBE Tb3Er, optimized geometry
data_Tb3Er
_chemical_formula_sum 'Tb3 Er1'
_cell_length_a 3.620
_cell_length_b 5.624
_cell_length_c 6.266
_cell_angle_alpha 90.00
_cell_angle_beta 90.00
_cell_angle_gamma 90.00
_space_group_name_H-M_alt 'P m m 2'
_space_group_IT_number 25
_space_group_name_Hall 'P 2 -2'
loop_
_atom_site_label
_atom_site_fract_x
_atom_site_fract_y
_atom_site_fract_z
Tb1 0.000 0.000 0.000
Tb2 0.000 0.500 0.335
Tb3 0.500 0.500 0.834
Er1 0.500 0.000 0.501
# E above lowest polymorph (eV per formula unit): 0.00
# E_form (eV/atom): 0.01

***

Entry 18:
# PBE AcZn4Bi3O12, optimized geometry
data_AcZn4Bi3O12
_chemical_formula_sum 'Ac2 Zn8 Bi6 O24'
_cell_length_a 8.013
_cell_length_b 8.013
_cell_length_c 8.013
_cell_angle_alpha 90.00
_cell_angle_beta 90.00
_cell_angle_gamma 90.00
_space_group_name_H-M_alt 'I m -3'
_space_group_IT_number 204
_space_group_name_Hall '-I 2 2 3'
loop_
_atom_site_label
_atom_site_fract_x
_atom_site_fract_y
_atom_site_fract_z
Ac1 0.000 0.000 0.000
Zn1 0.250 0.250 0.250
Bi1 0.000 0.000 0.500
O1 0.000 0.188 0.301
# Uncorrected formation energy (eV per atom): -1.278

***

Entry 19:
# PBE V2HRh, optimized geometry
data_V2HRh
_chemical_formula_sum 'V6 H3 Rh3'
_cell_length_a 3.7413
_cell_length_b 3.7413
_cell_length_c 16.5843
_cell_angle_alpha 90.00
_cell_angle_beta 90.00
_cell_angle_gamma 120.00
_space_group_name_H-M_alt 'R -3 m'
_space_group_IT_number 166
_space_group_name_Hall '-R 3 2"'
loop_
_atom_site_label
_atom_site_fract_x
_atom_site_fract_y
_atom_site_fract_z
V1 0.0000 0.0000 0.1031
H1 0.0000 0.0000 0.0000
Rh1 0.0000 0.0000 0.5000
# E above lowest polymorph (eV per formula unit): 3.06

***

Entry 20:
# PBE TlCl3, optimized geometry
data_TlCl3
_chemical_formula_sum 'Tl1 Cl3'
_cell_length_a 4.746
_cell_length_b 4.746
_cell_length_c 4.746
_cell_angle_alpha 90.00
_cell_angle_beta 90.00
_cell_angle_gamma 90.00
_space_group_name_H-M_alt 'P m -3 m'
_space_group_IT_number 221
_space_group_name_Hall '-P 4 2 3'
loop_
_atom_site_label
_atom_site_fract_x
_atom_site_fract_y
_atom_site_fract_z
Tl1 0.000 0.000 0.000
Cl1 0.000 0.500 0.500
# Uncorrected formation energy (eV per atom): -0.076

***

Entry 21:
# PBE Tm2MgRe, optimized geometry
data_Tm2MgRe
_chemical_formula_sum 'Tm2 Mg1 Re1'
_cell_length_a 3.426
_cell_length_b 3.426
_cell_length_c 8.072
_cell_angle_alpha 90.00
_cell_angle_beta 90.00
_cell_angle_gamma 90.00
_space_group_name_H-M_alt 'P 4/m m m'
_space_group_IT_number 123
_space_group_name_Hall '-P 4 2'
loop_
_atom_site_label
_atom_site_fract_x
_atom_site_fract_y
_atom_site_fract_z
Tm1 0.000 0.000 0.202
Mg1 0.500 0.500 0.500
Re1 0.500 0.500 0.000
# E above lowest polymorph (eV per formula unit): 0.00
# E_form (eV/atom): 0.00